(1)
CsNdSnSe4: relaxed, PBE.

Cell lengths 7.1107, 7.3172, 10.0030 Å; angles 90.00, 108.10, 90.00 degrees
Fractional coordinates of all 14 atoms:
Cs 0.2486 0.2500 0.4419
Cs 0.7514 0.7500 0.5581
Nd 0.2778 0.2500 0.9502
Nd 0.7222 0.7500 0.0498
Sn 0.2713 0.7500 0.1640
Sn 0.7287 0.2500 0.8360
Se 0.0423 0.7500 0.9139
Se 0.0619 0.7500 0.3259
Se 0.4805 0.5143 0.8014
Se 0.4805 0.9857 0.8014
Se 0.5195 0.0143 0.1986
Se 0.5195 0.4857 0.1986
Se 0.9381 0.2500 0.6741
Se 0.9577 0.2500 0.0861

***

(2)
CsNdSnSe3: relaxed, PBE.

Cell lengths 9.3471, 4.3070, 11.9119 Å; angles 90.00, 109.30, 90.00 degrees
Fractional coordinates of all 12 atoms:
Cs 0.2334 0.2500 0.2692
Cs 0.7666 0.7500 0.7308
Nd 0.3595 0.7500 0.8505
Nd 0.6405 0.2500 0.1495
Sn 0.1382 0.2500 0.5661
Sn 0.8618 0.7500 0.4339
Se 0.1185 0.2500 0.7848
Se 0.3385 0.7500 0.5910
Se 0.4121 0.7500 0.1068
Se 0.5879 0.2500 0.8932
Se 0.6615 0.2500 0.4090
Se 0.8815 0.7500 0.2152

***

(3)
Cs4Nd3SnSe8: relaxed, PBE.

Cell lengths 9.7983, 9.7983, 9.7983 Å; angles 53.20, 53.20, 53.20 degrees
Fractional coordinates of all 16 atoms:
Cs 0.0000 0.0000 0.0000
Cs 0.0000 0.5000 0.5000
Cs 0.5000 0.0000 0.5000
Cs 0.5000 0.5000 0.0000
Nd 0.0000 0.0000 0.5000
Nd 0.0000 0.5000 0.0000
Nd 0.5000 0.0000 0.0000
Sn 0.5000 0.5000 0.5000
Se 0.2305 0.2305 0.2305
Se 0.2347 0.7264 0.7264
Se 0.2736 0.2736 0.7653
Se 0.2736 0.7653 0.2736
Se 0.7264 0.2347 0.7264
Se 0.7264 0.7264 0.2347
Se 0.7653 0.2736 0.2736
Se 0.7695 0.7695 0.7695

Density of states at the Fermi level ... 2.10 states/eV per cell

***

(4)
Cs3Nd2SnSe6: relaxed, PBE.

Cell lengths 7.5896, 7.5896, 8.7514 Å; angles 98.31, 98.31, 120.01 degrees
Fractional coordinates of all 12 atoms:
Cs 0.0000 0.0000 0.0000
Cs 0.3326 0.6674 0.0000
Cs 0.6674 0.3326 0.0000
Nd 0.1666 0.8334 0.5000
Nd 0.8334 0.1666 0.5000
Sn 0.5000 0.5000 0.5000
Se 0.1097 0.4373 0.3119
Se 0.2352 0.2352 0.6887
Se 0.4373 0.1097 0.3119
Se 0.5627 0.8903 0.6881
Se 0.7648 0.7648 0.3113
Se 0.8903 0.5627 0.6881

Density of states at the Fermi level ... 5.29 states/eV per cell

***

no.,ΔE_f (raw) (eV/atom),uncorrected energy (eV/cell)
1,-1.159,-63.35
2,-1.303,-55.80
3,-1.462,-72.98
4,-1.366,-53.40